No. 1
Density functional theory data (GGA-PBEsol) for a relaxed structure of LaTaMo2.

a = 3.2212 Å, b = 4.4972 Å, c = 5.0617 Å
α = 90.00°, β = 90.00°, γ = 90.00°
Last column: nearest neighbours and their distance in Å.
Sites, in units of the cell vectors:
La 0.0000 0.0000 0.0000  4 Mo 2.77, 4 Ta 3.00
Ta 0.5000 0.0000 0.5000  4 Mo 2.77, 4 La 3.00
Mo 0.0000 0.5000 0.5000  4 Ta 2.77, 4 Mo 3.00
Mo 0.5000 0.5000 0.0000  4 La 2.77, 4 Mo 3.00

DOS(E_F) ... 3.67 states/eV/cell
Energy of formation from the pure elements ... 0.613 eV per atom
Energy above the most stable polymorph in this dataset ... 271 meV/atom

=====

No. 2
Density functional theory data (GGA-PBEsol) for a relaxed structure of ScRh3.

a = 3.8687 Å, b = 3.8687 Å, c = 3.8687 Å
α = 90.00°, β = 90.00°, γ = 90.00°
Last column: nearest neighbours and their distance in Å.
Sites, in units of the cell vectors:
Sc 0.0000 0.0000 0.0000  12 Rh 2.74
Rh 0.0000 0.5000 0.5000  4 Sc 2.74, 8 Rh 2.74
Rh 0.5000 0.0000 0.5000  4 Sc 2.74, 8 Rh 2.74
Rh 0.5000 0.5000 0.0000  4 Sc 2.74, 8 Rh 2.74

DOS(E_F) ... 3.90 states/eV/cell
Energy of formation from the pure elements ... -0.586 eV per atom

=====

No. 3
Density functional theory data (GGA-PBEsol) for a relaxed structure of NiAg2Pb.

a = 3.2168 Å, b = 4.3852 Å, c = 9.7894 Å
α = 90.00°, β = 90.00°, γ = 90.00°
Last column: nearest neighbours and their distance in Å.
Sites, in units of the cell vectors:
Ni 0.0000 0.0000 0.0000  4 Ag 2.69, 4 Pb 2.72
Ni 0.5000 0.5000 0.5000  4 Ag 2.69, 4 Pb 2.72
Ag 0.0000 0.5000 0.2803  2 Ni 2.69, 4 Ag 2.78
Ag 0.0000 0.5000 0.7197  2 Ni 2.69, 4 Ag 2.78
Ag 0.5000 0.0000 0.2197  2 Ni 2.69, 4 Ag 2.78
Ag 0.5000 0.0000 0.7803  2 Ni 2.69, 4 Ag 2.78
Pb 0.0000 0.0000 0.5000  4 Ni 2.72
Pb 0.5000 0.5000 0.0000  4 Ni 2.72

DOS(E_F) ... 3.15 states/eV/cell
Energy of formation from the pure elements ... 0.176 eV per atom